Entry 1:
Entry from the Alexandria database: a relaxed structure of Nd2PuGe4Ir3 (GGA-PBE).

Values from the calculation:
- V: 20.55 Å³/atom
- Final energy: -7.521 eV/atom
- Energy of formation: -0.6294 eV per atom

Unit cell a=4.2804 b=4.2804 c=11.2147 alpha=90.00 beta=90.00 gamma=90.00
Element x y z (fractional)
Nd: 0.5000 0.0000 0.2304
Nd: 0.0000 0.5000 0.7696
Pu: 0.5000 0.5000 0.5000
Ge: 0.5000 0.5000 0.0000
Ge: 0.0000 0.0000 0.0000
Ge: 0.5000 0.0000 0.6703
Ge: 0.0000 0.5000 0.3297
Ir: 0.0000 0.0000 0.5000
Ir: 0.5000 0.0000 0.8862
Ir: 0.0000 0.5000 0.1138


Entry 2:
Entry from the Alexandria database: a relaxed structure of NdGeIrRh (GGA-PBE).

Values from the calculation:
- V: 19.99 Å³/atom
- Final energy: -6.776 eV/atom
- Energy of formation: -0.3762 eV per atom

Unit cell a=4.3829 b=3.9598 c=5.0139 alpha=113.26 beta=90.00 gamma=90.00
Element x y z (fractional)
Nd: 0.5000 0.2013 0.4026
Ge: 0.0000 0.6056 0.2113
Ir: 0.0000 0.9408 0.8816
Rh: 0.5000 0.4801 0.9602


Entry 3:
Entry from the Alexandria database: a relaxed structure of NdGe2IrRh (GGA-PBE).

Values from the calculation:
- V: 18.47 Å³/atom
- Final energy: -6.880 eV/atom
- Energy of formation: -0.8371 eV per atom

Unit cell a=4.1877 b=4.1877 c=6.0420 alpha=110.28 beta=110.28 gamma=90.00
Element x y z (fractional)
Nd: 0.0000 0.0000 0.0000
Ge: 0.6238 0.6238 0.2475
Ge: 0.3762 0.3762 0.7525
Ir: 0.2500 0.7500 0.5000
Rh: 0.7500 0.2500 0.5000


Entry 4:
Entry from the Alexandria database: a relaxed structure of Nd2Ge4IrRh3 (GGA-PBE).

Values from the calculation:
- V: 18.50 Å³/atom
- Final energy: -6.741 eV/atom
- Energy of formation: -0.8486 eV per atom

Unit cell a=4.2775 b=4.2775 c=10.1121 alpha=90.00 beta=90.00 gamma=90.00
Element x y z (fractional)
Nd: 0.5000 0.0000 0.2442
Nd: 0.0000 0.5000 0.7558
Ge: 0.5000 0.5000 0.0000
Ge: 0.0000 0.0000 0.0000
Ge: 0.5000 0.0000 0.6310
Ge: 0.0000 0.5000 0.3690
Ir: 0.5000 0.5000 0.5000
Rh: 0.0000 0.0000 0.5000
Rh: 0.5000 0.0000 0.8736
Rh: 0.0000 0.5000 0.1264